# 1
DFT (PBE) results for a relaxed structure of Sc2Fe4As.

Lattice parameters (Å, degrees): 7.4021 7.4021 7.4021 146.06 146.06 48.75
Last column: nearest neighbours and their distance in Å.
Atoms (fractional coordinates):
Sc: 0.1270 0.1270 0.0000  5 Fe 2.68-2.76
Sc: 0.8730 0.8730 0.0000  5 Fe 2.68-2.76
Fe: 0.0000 0.5000 0.5000  2 As 2.16
Fe: 0.3257 0.3257 0.0000  1 As 2.35
Fe: 0.5000 0.0000 0.5000  2 As 2.16
Fe: 0.6743 0.6743 0.0000  1 As 2.35
As: 0.5000 0.5000 0.0000  6 Fe 2.16-2.35


# 2
DFT (PBE) results for a relaxed structure of ScFe2As.

Lattice parameters (Å, degrees): 7.7781 7.7781 7.7781 23.19 23.19 23.19
Last column: nearest neighbours and their distance in Å.
Atoms (fractional coordinates):
Sc: 0.0000 0.0000 0.0000  3 Fe 2.71, 3 As 2.87
Fe: 0.4954 0.4954 0.4954  3 As 2.45, 3 Fe 2.45
Fe: 0.7555 0.7555 0.7555  3 Fe 2.45, 3 Sc 2.71
As: 0.2350 0.2350 0.2350  3 Fe 2.45


# 3
DFT (PBE) results for a relaxed structure of ScFe2As.

Lattice parameters (Å, degrees): 3.2829 3.9598 5.0151 90.00 108.11 90.00
Last column: nearest neighbours and their distance in Å.
Atoms (fractional coordinates):
Sc: 0.0000 0.0000 0.0000  1 Fe 2.47, 4 As 2.70
Fe: 0.2855 0.5000 0.5923  3 As 2.57-2.78, 4 Fe 2.59-2.66
Fe: 0.7186 0.0000 0.4825  2 As 2.46, 1 Sc 2.47, 4 Fe 2.59-2.66
As: 0.5834 0.5000 0.1754  4 Fe 2.46-2.59, 4 Sc 2.70


Number 1: formation energy 465.9 meV per atom. Number 2: formation energy 54.8 meV per atom. Number 3: formation energy -251.2 meV per atom.